# 1
## Ac6In5Sn (GGA-PBE)

Data for a relaxed structure of Ac6In5Sn.

Lattice parameters (Å, degrees): 5.7714 17.3919 8.2679 90.00 90.00 90.00
With the nearest neighbours (Å) after each atom.
Space group Cmmm (No. 65)
One atom of each set of equivalent atoms:
Ac 0.0000 0.0000 0.2464  2 Sn 3.53, 6 In 3.57-3.61
Ac 0.0000 0.3349 0.2513  7 In 3.52-3.59, 1 Sn 3.54
In 0.0000 0.1660 0.5000  8 Ac 3.54-3.59
In 0.0000 0.1716 0.0000  8 Ac 3.52-3.61
In 0.0000 0.5000 0.5000  8 Ac 3.53-3.57
Sn 0.0000 0.5000 0.0000  8 Ac 3.53-3.54

Values from the calculation:
formation energy from the elements	-0.456	eV per atom

***

# 2
## Ac5InSn2 (GGA-PBE)

Data for a relaxed structure of Ac5InSn2.

Lattice parameters (Å, degrees): 8.8120 8.8120 15.6526 90.00 90.00 90.00
With the nearest neighbours (Å) after each atom.
Space group I4/mcm (No. 140)
One atom of each set of equivalent atoms:
Ac 0.0000 0.0000 0.0000  4 Sn 3.46
Ac 0.1698 0.3302 0.1470  3 Sn 3.41-3.51, 2 In 3.65, 1 Ac 3.79
In 0.0000 0.0000 0.2500  10 Ac 3.65-3.91
Sn 0.1284 0.3716 0.5000  1 Sn 3.20, 8 Ac 3.41-3.51

Values from the calculation:
formation energy from the elements	-0.510	eV per atom
E above lowest polymorph	0	meV/atom

***

# 3
## AcIn2Sn2 (GGA-PBE)

Data for a relaxed structure of AcIn2Sn2.

Lattice parameters (Å, degrees): 4.8469 25.0331 4.8281 90.00 90.00 90.00
With the nearest neighbours (Å) after each atom.
Space group Cmcm (No. 63)
One atom of each set of equivalent atoms:
Ac 0.0000 0.1461 0.2500  8 Sn 3.42-3.55, 4 In 3.51-3.55
In 0.0000 0.0421 0.7500  8 In 3.20-3.42, 2 Sn 3.53, 2 Ac 3.55
In 0.0000 0.4551 0.7500  8 In 3.26-3.42, 2 Sn 3.47, 2 Ac 3.51
Sn 0.0000 0.2503 0.7500  8 Sn 3.42-3.59, 4 Ac 3.55
Sn 0.0000 0.3556 0.2500  4 Ac 3.42, 4 In 3.47-3.53, 4 Sn 3.57-3.59

Values from the calculation:
formation energy from the elements	-0.321	eV per atom
E above lowest polymorph	0	meV/atom

***

# 4
## Ac8InSn6 (GGA-PBE)

Data for a relaxed structure of Ac8InSn6.

Lattice parameters (Å, degrees): 10.0052 10.0052 20.6651 90.00 90.00 120.00
With the nearest neighbours (Å) after each atom.
Space group R-3 (No. 148, hexagonal axes)
One atom of each set of equivalent atoms:
Ac 0.0000 0.0000 0.1660  6 Sn 3.50-3.56
Ac 0.0071 0.2931 0.5972  5 Sn 3.33-3.55, 1 In 3.53
In 0.0000 0.0000 0.5000  6 Ac 3.53, 6 Sn 3.90
Sn 0.0051 0.3636 0.4289  7 Ac 3.33-3.56

Values from the calculation:
formation energy from the elements	-0.541	eV per atom

***

# 5
## Ac5InSn4 (GGA-PBE)

Data for a relaxed structure of Ac5InSn4.

Lattice parameters (Å, degrees): 3.8400 3.8400 23.0794 90.00 90.00 90.00
With the nearest neighbours (Å) after each atom.
Space group P4/mmm (No. 123)
One atom of each set of equivalent atoms:
Ac 0.0000 0.0000 0.0000  8 Sn 3.56, 4 Ac 3.84
Ac 0.0000 0.0000 0.1997  8 Sn 3.56, 4 Ac 3.84
Ac 0.0000 0.0000 0.3990  4 Sn 3.55, 4 In 3.58, 4 Ac 3.84
In 0.5000 0.5000 0.5000  8 Ac 3.58, 4 In 3.84
Sn 0.5000 0.5000 0.1000  8 Ac 3.56, 4 Sn 3.84
Sn 0.5000 0.5000 0.2996  8 Ac 3.55-3.56, 4 Sn 3.84

Values from the calculation:
formation energy from the elements	-0.572	eV per atom

***

# 6
## Ac2InSn3 (GGA-PBE)

Data for a relaxed structure of Ac2InSn3.

Lattice parameters (Å, degrees): 4.4387 4.8942 8.9671 90.00 90.00 90.00
With the nearest neighbours (Å) after each atom.
Space group Pmm2 (No. 25)
One atom of each set of equivalent atoms:
Ac 0.0000 0.0000 0.0000  8 Sn 3.58-3.75, 4 In 3.64
Ac 0.0000 0.5000 0.4907  10 Sn 3.60-3.75, 2 In 3.76
In 0.5000 0.5000 0.8298  3 Sn 2.87-2.90
Sn 0.5000 0.0000 0.3309  3 Sn 2.92-2.98
Sn 0.5000 0.0000 0.6633  2 In 2.87, 1 Sn 2.98
Sn 0.5000 0.5000 0.1535  1 In 2.90, 2 Sn 2.92

Values from the calculation:
formation energy from the elements	-0.507	eV per atom

***

# 7
## Ac6InSn5 (GGA-PBE)

Data for a relaxed structure of Ac6InSn5.

Lattice parameters (Å, degrees): 10.6622 16.3499 5.4520 90.00 120.71 90.00
With the nearest neighbours (Å) after each atom.
Space group C2/m (No. 12)
One atom of each set of equivalent atoms:
Ac 0.2470 0.0000 0.2467  6 Sn 3.52-3.55, 2 In 3.58, 4 Ac 3.87-3.88
Ac 0.2486 0.1684 0.7486  7 Sn 3.54-3.59, 1 In 3.59, 4 Ac 3.81-3.88
In 0.0000 0.5000 0.0000  8 Ac 3.58-3.59, 4 Sn 3.80
Sn 0.0000 0.0000 0.5000  8 Ac 3.54-3.57, 4 Sn 3.87
Sn 0.0000 0.1676 0.0000  8 Ac 3.54-3.55, 4 Sn 3.87-3.90
Sn 0.0000 0.3382 0.5000  8 Ac 3.52-3.59, 2 In 3.80, 2 Sn 3.90

Values from the calculation:
formation energy from the elements	-0.584	eV per atom

***

# 8
## Ac4InSn15 (GGA-PBE)

Data for a relaxed structure of Ac4InSn15.

Lattice parameters (Å, degrees): 4.8897 4.8897 24.6147 90.00 90.00 90.00
With the nearest neighbours (Å) after each atom.
Space group P4/mmm (No. 123)
One atom of each set of equivalent atoms:
Ac 0.0000 0.0000 0.1008  12 Sn 3.46-3.48
Ac 0.0000 0.0000 0.3003  12 Sn 3.45-3.57
In 0.0000 0.0000 0.5000  12 Sn 3.37-3.46
Sn 0.0000 0.5000 0.0000  8 Sn 3.46-3.48, 4 Ac 3.48
Sn 0.0000 0.5000 0.2017  4 Ac 3.45-3.48, 8 Sn 3.46-3.55
Sn 0.0000 0.5000 0.4061  8 Sn 3.37-3.47, 2 In 3.37, 2 Ac 3.57
Sn 0.5000 0.5000 0.1008  4 Ac 3.46, 8 Sn 3.48
Sn 0.5000 0.5000 0.3060  4 Ac 3.46, 8 Sn 3.47-3.55
Sn 0.5000 0.5000 0.5000  8 Sn 3.37, 4 In 3.46

Values from the calculation:
formation energy from the elements	-0.382	eV per atom

***

# 9
## Ac4InSn3 (GGA-PBE)

Data for a relaxed structure of Ac4InSn3.

Lattice parameters (Å, degrees): 4.5934 5.0110 12.4393 90.00 90.00 90.00
With the nearest neighbours (Å) after each atom.
Space group Pmm2 (No. 25)
One atom of each set of equivalent atoms:
Ac 0.0000 0.0000 0.0000  7 Sn 3.47-3.70
Ac 0.0000 0.5000 0.4981  3 Sn 3.47-3.71, 4 In 3.48
Ac 0.5000 0.0000 0.2768  6 Sn 3.47-3.73, 1 In 3.51
Ac 0.5000 0.5000 0.7768  5 Sn 3.45-3.48, 2 In 3.69
In 0.5000 0.0000 0.5590  2 Sn 3.03
Sn 0.0000 0.0000 0.7179  2 In 3.03
Sn 0.0000 0.5000 0.2194  2 Sn 3.08
Sn 0.5000 0.5000 0.0542  2 Sn 3.08, 1 Ac 3.45

Values from the calculation:
formation energy from the elements	-0.659	eV per atom

***

# 10
## Ac4InSn4 (GGA-PBE)

Data for a relaxed structure of Ac4InSn4.

Lattice parameters (Å, degrees): 9.8275 9.8275 7.0508 90.00 90.00 90.00
With the nearest neighbours (Å) after each atom.
Space group P4_2/nmc (No. 137, origin choice 2)
One atom of each set of equivalent atoms:
Ac 0.0143 0.2500 0.0429  1 In 3.32, 6 Sn 3.39-3.67
In 0.2500 0.7500 0.2500  4 Sn 2.90
Sn 0.0039 0.7500 0.4771  1 In 2.90

Values from the calculation:
formation energy from the elements	-0.558	eV per atom

***

# 11
## AcInSn4 (GGA-PBE)

Data for a relaxed structure of AcInSn4.

Lattice parameters (Å, degrees): 8.9357 8.9357 8.9357 90.00 90.00 90.00
With the nearest neighbours (Å) after each atom.
Space group F-43m (No. 216)
One atom of each set of equivalent atoms:
Ac 0.0000 0.0000 0.0000  12 Sn 3.71, 4 In 3.87
In 0.2500 0.2500 0.7500  12 Sn 3.70, 4 Ac 3.87
Sn 0.1248 0.1248 0.3752  6 Sn 3.15-3.16

Values from the calculation:
formation energy from the elements	-0.270	eV per atom
E above lowest polymorph	66	meV/atom

***

# 12
## Ac5In4Sn (GGA-PBE)

Data for a relaxed structure of Ac5In4Sn.

Lattice parameters (Å, degrees): 4.1032 4.1032 20.5481 90.00 90.00 90.00
With the nearest neighbours (Å) after each atom.
Space group P4/mmm (No. 123)
One atom of each set of equivalent atoms:
Ac 0.0000 0.0000 0.0000  8 In 3.55
Ac 0.0000 0.0000 0.1999  8 In 3.53-3.56
Ac 0.0000 0.0000 0.4003  4 Sn 3.55, 4 In 3.59
In 0.5000 0.5000 0.0997  8 Ac 3.55-3.56
In 0.5000 0.5000 0.2977  8 Ac 3.53-3.59
Sn 0.5000 0.5000 0.5000  8 Ac 3.55

Values from the calculation:
formation energy from the elements	-0.458	eV per atom

***

# 13
## Ac5InSn2 (GGA-PBE)

Data for a relaxed structure of Ac5InSn2.

Lattice parameters (Å, degrees): 5.5156 12.2946 18.2563 90.00 90.00 90.00
With the nearest neighbours (Å) after each atom.
Space group Cmcm (No. 63)
One atom of each set of equivalent atoms:
Ac 0.0000 0.0950 0.0829  3 Sn 3.33-3.41, 1 In 3.37, 2 Ac 3.72
Ac 0.0000 0.3117 0.7500  2 Sn 3.37, 1 In 3.56
Ac 0.0000 0.3974 0.1145  3 Sn 3.43-3.79, 3 Ac 3.72-3.76, 2 In 3.84
In 0.0000 0.0220 0.7500  3 Ac 3.37-3.56
Sn 0.0000 0.2546 0.5696  6 Ac 3.33-3.43

Values from the calculation:
formation energy from the elements	-0.354	eV per atom
E above lowest polymorph	156	meV/atom

***

# 14
## Ac2InSn2 (GGA-PBE)

Data for a relaxed structure of Ac2InSn2.

Lattice parameters (Å, degrees): 8.3557 8.3557 9.6770 90.00 90.00 90.00
With the nearest neighbours (Å) after each atom.
Space group P4/mnc (No. 128)
One atom of each set of equivalent atoms:
Ac 0.1773 0.3229 0.0000  6 Sn 3.37-3.52
In 0.0000 0.0000 0.2497  4 Sn 3.31
Sn 0.1242 0.6242 0.2500  1 Sn 2.93

Values from the calculation:
formation energy from the elements	-0.624	eV per atom

***

# 15
## AcIn2Sn (GGA-PBE)

Data for a relaxed structure of AcIn2Sn.

Lattice parameters (Å, degrees): 4.0582 4.0582 7.3325 90.00 90.00 90.00
With the nearest neighbours (Å) after each atom.
Space group P4/mmm (No. 123)
One atom of each set of equivalent atoms:
Ac 0.0000 0.0000 0.0000  8 In 3.59, 2 Sn 3.67
In 0.5000 0.5000 0.2935  1 In 3.03, 4 Sn 3.24
Sn 0.0000 0.0000 0.5000  8 In 3.24

Values from the calculation:
formation energy from the elements	-0.285	eV per atom
E above lowest polymorph	164	meV/atom

***

# 16
## Ac5In2Sn4 (GGA-PBE)

Data for a relaxed structure of Ac5In2Sn4.

Lattice parameters (Å, degrees): 21.9850 4.9414 7.9523 90.00 103.59 90.00
With the nearest neighbours (Å) after each atom.
Space group C2/m (No. 12)
One atom of each set of equivalent atoms:
Ac 0.0000 0.0000 0.0000  4 Sn 3.48, 2 In 3.86
Ac 0.1534 0.5000 0.4305  4 Sn 3.35-3.52, 2 In 3.50
Ac 0.1619 0.5000 0.9359  4 Sn 3.35-3.41
In 0.0744 0.0000 0.6061  3 Sn 3.02-3.04, 1 In 3.31
Sn 0.0108 0.5000 0.7010  2 In 3.02, 1 Sn 3.12
Sn 0.2162 0.0000 0.7190  1 In 3.04, 4 Ac 3.35-3.39

Values from the calculation:
formation energy from the elements	-0.352	eV per atom

***

# 17
## Ac2In2Sn (GGA-PBE)

Data for a relaxed structure of Ac2In2Sn.

Lattice parameters (Å, degrees): 12.4950 4.8720 12.5932 90.00 117.57 90.00
With the nearest neighbours (Å) after each atom.
Space group C2/m (No. 12)
One atom of each set of equivalent atoms:
Ac 0.0948 0.0000 0.4062  6 In 3.33-3.69, 2 Sn 3.62
Ac 0.2083 0.5000 0.1456  4 In 3.43-3.66, 4 Sn 3.47-3.82
In 0.0016 0.0000 0.1118  1 In 2.80, 2 Sn 2.92
In 0.1357 0.5000 0.6150  1 Sn 2.98, 1 In 3.29
Sn 0.0807 0.5000 0.8214  3 In 2.92-2.98

Values from the calculation:
formation energy from the elements	-0.502	eV per atom

***

# 18
## Ac7In2Sn2 (GGA-PBE)

Data for a relaxed structure of Ac7In2Sn2.

Lattice parameters (Å, degrees): 8.8675 12.2099 8.3276 90.00 90.00 90.00
With the nearest neighbours (Å) after each atom.
Space group Cmmm (No. 65)
One atom of each set of equivalent atoms:
Ac 0.0000 0.0000 0.0000  2 Sn 3.51
Ac 0.0000 0.5000 0.2641  2 Sn 3.40, 2 In 3.55, 4 Ac 3.78
Ac 0.2500 0.2500 0.2866  2 Sn 3.29, 1 Ac 3.55, 2 In 3.61
In 0.1661 0.0000 0.5000  1 In 2.95
Sn 0.0000 0.2874 0.0000  7 Ac 3.29-3.51

Values from the calculation:
formation energy from the elements	-0.222	eV per atom

***

# 19
## Ac3In3Sn (GGA-PBE)

Data for a relaxed structure of Ac3In3Sn.

Lattice parameters (Å, degrees): 12.5402 4.9277 16.1680 90.00 107.55 90.00
With the nearest neighbours (Å) after each atom.
Space group C2/m (No. 12)
One atom of each set of equivalent atoms:
Ac 0.0079 0.0000 0.3795  6 In 3.51-3.64, 3 Sn 3.61-3.63
Ac 0.1130 0.0000 0.9263  7 In 3.46-3.65
Ac 0.2284 0.0000 0.2266  6 In 3.46-3.74, 2 Sn 3.49
In 0.0032 0.5000 0.2238  1 In 3.01, 1 Sn 3.05
In 0.1033 0.5000 0.0763  2 In 2.99-3.01
In 0.1454 0.5000 0.5424  3 Sn 3.07-3.08
Sn 0.2171 0.5000 0.3764  4 In 3.05-3.08

Values from the calculation:
formation energy from the elements	-0.491	eV per atom

***

# 20
## AcIn2Sn (GGA-PBE)

Data for a relaxed structure of AcIn2Sn.

Lattice parameters (Å, degrees): 7.8908 7.8908 7.8908 90.00 90.00 90.00
With the nearest neighbours (Å) after each atom.
Space group Fm-3m (No. 225)
One atom of each set of equivalent atoms:
Ac 0.0000 0.0000 0.0000  8 In 3.42
In 0.2500 0.2500 0.2500  4 Ac 3.42, 4 Sn 3.42
Sn 0.0000 0.0000 0.5000  8 In 3.42

Values from the calculation:
formation energy from the elements	-0.247	eV per atom
E above lowest polymorph	202	meV/atom